No. 1
CdCu2Pt6 | Alexandria via LeMat-Bulk | GGA-PBE | relaxed; ΔE to the lowest computed polymorph = 0.000 eV per atom; energy of formation from the pure elements = -147 meV per atom
1.0
8.4179 0.0000 0.0000
0.0000 8.4179 0.0000
0.0000 0.0000 3.9058
Cd Cu Pt
2 4 12
Cartesian
0.0000 0.0000 0.0000
4.2090 4.2090 1.9529
1.4231 1.4231 1.9529
2.7859 5.6320 0.0000
5.6320 2.7859 0.0000
6.9948 6.9948 1.9529
0.0334 5.6171 0.0000
1.4081 4.1756 1.9529
1.4534 6.9646 1.9529
2.7556 2.7556 0.0000
2.8008 8.3845 0.0000
4.1756 1.4081 1.9529
4.2424 7.0098 1.9529
5.6171 0.0334 0.0000
5.6623 5.6623 0.0000
6.9646 1.4534 1.9529
7.0098 4.2424 1.9529
8.3845 2.8008 0.0000

***

No. 2
BaMn2Os | Alexandria via LeMat-Bulk | GGA-PBE | relaxed; ΔE to the lowest computed polymorph = 0.677 eV per atom; energy of formation from the pure elements = 1097 meV per atom
1.0
3.0698 -3.8849 0.0000
3.0698 3.8849 0.0000
0.0000 0.0000 3.2118
Ba Mn Os
1 2 1
Cartesian
0.0000 0.0000 0.0000
1.5349 1.9425 1.6059
1.5349 -1.9425 1.6059
3.0698 0.0000 0.0000

***

No. 3
Ho5Hg4Au | Alexandria via LeMat-Bulk | GGA-PBE | relaxed; energy of formation from the pure elements = -560 meV per atom
1.0
3.6755 0.0000 0.0000
0.0000 3.6755 0.0000
0.0000 0.0000 18.4706
Ho Hg Au
5 4 1
Cartesian
0.0000 0.0000 0.0000
0.0000 0.0000 3.7600
0.0000 0.0000 7.5118
0.0000 0.0000 10.9589
0.0000 0.0000 14.7107
1.8377 1.8377 1.8740
1.8377 1.8377 5.5810
1.8377 1.8377 12.8896
1.8377 1.8377 16.5966
1.8377 1.8377 9.2353